No. 1
K3YMg (PBE-GGA, relaxed); calculated total energy = -1.49 eV/atom; SG = Pm-3m (221); energy of formation from the pure elements = 0.778 eV per atom; density of states at the Fermi level = 5.59 states/eV/f.u.
1.0
-5.6363 3.5948 -0.0023
-1.2897 -2.0261 -6.2387
-3.3555 -5.2595 2.4017
Y K Mg
1 3 1
Direct
0.5000 0.5000 0.5000
0.0000 0.5000 0.0000
0.0000 0.0000 0.5000
0.5000 0.0000 0.0000
0.0000 0.0000 0.0000

=====

No. 2
AcPmPr (PBE-GGA, relaxed); calculated total energy = -4.52 eV/atom; SG = I4mm (107); energy of formation from the pure elements = 0.031 eV per atom; density of states at the Fermi level = 5.24 states/eV/f.u.
1.0
3.8116 0.0000 0.0000
0.0000 3.8116 0.0000
-1.9058 -1.9058 7.9415
Pr Ac Pm
1 1 1
Direct
0.6717 0.6717 0.3435
0.9991 0.9991 0.9982
0.3291 0.3291 0.6583

=====

No. 3
MgInGa4 (PBE-GGA, relaxed); calculated total energy = -2.73 eV/atom; SG = F-43m (216); energy of formation from the pure elements = 0.015 eV per atom; density of states at the Fermi level = 2.20 states/eV/f.u.
1.0
5.6236 0.0000 0.0000
2.8118 4.8702 0.0000
2.8118 1.6234 4.5917
Mg Ga In
1 4 1
Direct
0.0000 0.0000 0.0000
0.6259 0.6259 0.1224
0.6259 0.1224 0.6259
0.6259 0.6259 0.6259
0.1224 0.6259 0.6259
0.2500 0.2500 0.2500

=====

No. 4
SiNi2Pt5 (PBE-GGA, relaxed); calculated total energy = -6.20 eV/atom; SG = Pbam (55); density of states at the Fermi level = 9.87 states/eV/f.u.; formation energy (no corrections) = -0.30 eV per atom
1.0
-3.2452 2.3090 -0.1546
-0.7279 -0.6673 5.3134
5.9315 8.4620 1.8753
Si Ni Pt
2 4 10
Direct
0.0000 0.0000 0.5000
0.0000 0.5000 0.0000
0.5000 0.3177 0.3589
0.5000 0.6823 0.6411
0.5000 0.1823 0.8589
0.5000 0.8177 0.1411
0.5000 0.3074 0.1030
0.5000 0.6926 0.8970
0.5000 0.8074 0.3970
0.5000 0.1926 0.6030
0.0000 0.9369 0.7345
0.0000 0.0631 0.2655
0.0000 0.4369 0.7655
0.0000 0.5631 0.2345
0.0000 0.5000 0.5000
0.0000 0.0000 0.0000

=====

No. 5
TiTeI3 (PBE-GGA, relaxed); calculated total energy = -2.34 eV/atom; SG = Pm-3m (221); density of states at the Fermi level = 22.17 states/eV/f.u.; formation energy (no corrections) = 0.80 eV per atom
1.0
-4.3120 -3.5696 2.3501
-0.3693 -3.0148 -5.2567
4.2578 -3.8765 1.9241
I Te Ti
3 1 1
Direct
0.0000 0.5000 0.0000
0.0000 0.0000 0.5000
0.5000 0.0000 0.0000
0.0000 0.0000 0.0000
0.5000 0.5000 0.5000

=====

No. 6
ZrSnPdAu (PBE-GGA, relaxed); calculated total energy = -5.77 eV/atom; SG = F-43m (216); energy of formation from the pure elements = -0.520 eV per atom; density of states at the Fermi level = 2.17 states/eV/f.u.
1.0
4.7752 0.0000 0.0000
2.3876 4.1354 0.0000
2.3876 1.3785 3.8989
Zr Au Sn Pd
1 1 1 1
Direct
0.7500 0.7500 0.7500
0.5000 0.5000 0.5000
0.2500 0.2500 0.2500
0.0000 0.0000 0.0000

=====

No. 7
PuPbS3 (PBE-GGA, relaxed); calculated total energy = -7.07 eV/atom; SG = P2_1/m (11); density of states at the Fermi level = 9.07 states/eV/f.u.; formation energy (no corrections) = -0.98 eV per atom
1.0
4.0503 0.0000 0.0000
0.0000 7.4340 0.0681
0.0000 0.2092 9.3120
Pu Pb S
2 2 6
Direct
0.2500 0.9267 0.1847
0.7500 0.0733 0.8153
0.2500 0.5565 0.7972
0.7500 0.4435 0.2028
0.2500 0.2039 0.9840
0.7500 0.7961 0.0160
0.2500 0.6198 0.3379
0.7500 0.3802 0.6621
0.2500 0.9241 0.6816
0.7500 0.0759 0.3184

=====

No. 8
EuTmPuTl (PBE-GGA, relaxed); calculated total energy = -7.80 eV/atom; SG = F-43m (216); energy of formation from the pure elements = 0.058 eV per atom; density of states at the Fermi level = 11.98 states/eV/f.u.
1.0
5.4868 0.0000 0.0000
2.7434 4.7517 0.0000
2.7434 1.5839 4.4800
Eu Tl Tm Pu
1 1 1 1
Direct
0.0000 0.0000 0.0000
0.7500 0.7500 0.7500
0.5000 0.5000 0.5000
0.2500 0.2500 0.2500

=====

No. 9
Cs7AuI5 (PBE-GGA, relaxed); calculated total energy = -2.51 eV/atom; SG = Cm (8); density of states at the Fermi level = 4.82 states/eV/f.u.; formation energy (no corrections) = -1.21 eV per atom
1.0
5.3188 0.0000 0.0000
-2.6594 9.2975 0.0005
0.0000 -0.0658 32.7254
Cs Au I
14 2 10
Direct
0.4365 0.8731 0.2499
0.5641 0.1282 0.7502
0.6376 0.2751 0.0375
0.3630 0.7261 0.9626
0.3631 0.7262 0.5374
0.6372 0.2743 0.4626
0.1938 0.3876 0.1818
0.8070 0.6141 0.8182
0.8077 0.6154 0.6816
0.1929 0.3859 0.3184
0.9147 0.8295 0.1087
0.0859 0.1718 0.8914
0.0864 0.1729 0.6088
0.9139 0.8277 0.3911
0.7882 0.5764 0.2506
0.2127 0.4254 0.7495
0.0003 0.0006 0.0000
0.7239 0.4479 0.9269
0.2767 0.5534 0.0731
0.5478 0.0957 0.3527
0.4526 0.9053 0.6473
0.0001 0.0002 0.5000
0.2763 0.5526 0.4270
0.7240 0.4481 0.5730
0.4519 0.9038 0.8527
0.5488 0.0975 0.1474

=====

No. 10
SrH4O6 (PBE-GGA, relaxed); calculated total energy = -5.03 eV/atom; SG = C2/c (15); density of states at the Fermi level = 0.00 states/eV/f.u.
1.0
0.1164 -3.4747 4.7350
0.9264 -4.3201 -3.8712
6.0530 0.6694 0.5040
Sr H O
2 8 12
Direct
0.1900 0.8100 0.7500
0.8100 0.1900 0.2500
0.3237 0.9875 0.2438
0.0125 0.6763 0.2562
0.6763 0.0125 0.7562
0.9875 0.3237 0.7438
0.2875 0.3811 0.4241
0.3811 0.2875 0.9241
0.7125 0.6189 0.5759
0.6189 0.7125 0.0759
0.2304 0.0578 0.3770
0.9422 0.7696 0.1230
0.7696 0.9422 0.6230
0.0578 0.2304 0.8770
0.3968 0.2525 0.4287
0.7475 0.6032 0.0713
0.6032 0.7475 0.5713
0.2525 0.3968 0.9287
0.5409 0.0963 0.9222
0.9037 0.4591 0.5778
0.4591 0.9037 0.0778
0.0963 0.5409 0.4222